The following is a DFT calculation (PBE) of a relaxed Tm2Ni3Sn5 crystal.

Uncorrected energy (eV/f.u.): -50.90
Calculated volume (A^3/atom): 20.16

```
Tm2Ni3Sn5
1.0
4.244 0.000 -0.723
0.000 7.176 0.000
0.070 0.000 13.227
Ni Sn Tm
6 10 4
direct
0.777 0.717 0.555
0.223 0.217 0.445
0.395 0.010 0.789
0.952 0.478 0.904
0.605 0.510 0.211
0.048 0.978 0.096
0.407 0.378 0.814
0.703 0.438 0.405
0.120 0.250 0.240
0.287 0.512 0.575
0.297 0.938 0.595
0.952 0.091 0.905
0.048 0.591 0.095
0.593 0.878 0.186
0.713 0.012 0.425
0.880 0.750 0.760
0.526 0.254 0.052
0.829 0.236 0.657
0.171 0.736 0.343
0.474 0.754 0.948
```

***

The following is a DFT calculation (PBE) of a relaxed Nd3Te2S crystal.

Calculated volume (A^3/atom): 29.42
E_form (uncorrected) (meV per atom): -1598

```
Nd3Te2S
1.0
4.253 0.000 0.000
0.000 6.144 0.000
-2.127 -3.072 6.753
Nd Te S
3 2 1
direct
0.638 0.638 0.276
0.000 0.000 0.000
0.362 0.362 0.724
0.678 0.178 0.355
0.322 0.822 0.645
0.000 0.500 0.000
```

***

The following is a DFT calculation (PBE) of a relaxed La6Nd4Sc crystal.

Uncorrected energy (eV/f.u.): -53.75
Calculated volume (A^3/atom): 35.21

```
La6Nd4Sc
1.0
-5.559 -2.067 0.884
4.489 -3.578 -0.475
3.691 1.185 25.979
Nd La Sc
8 12 2
direct
0.445 0.890 0.375
0.148 0.296 0.045
0.852 0.704 0.955
0.148 0.296 0.455
0.555 0.110 0.875
0.555 0.110 0.625
0.445 0.890 0.125
0.852 0.704 0.545
0.116 0.232 0.315
0.500 0.000 0.500
0.500 0.000 0.000
0.793 0.586 0.394
0.116 0.232 0.185
0.207 0.414 0.606
0.884 0.768 0.815
0.556 0.112 0.750
0.793 0.586 0.106
0.207 0.414 0.894
0.444 0.888 0.250
0.884 0.768 0.685
0.216 0.431 0.750
0.784 0.569 0.250
```